[1]
# FeIrPd2 | the Alexandria database | GGA-PBE | relaxed
data_FeIrPd2
_chemical_formula_sum 'Fe4 Ir4 Pd8'
_cell_length_a 6.105
_cell_length_b 6.105
_cell_length_c 6.105
_cell_angle_alpha 90.00
_cell_angle_beta 90.00
_cell_angle_gamma 90.00
_symmetry_space_group_name_H-M 'F m -3 m'
_symmetry_Int_Tables_number 225
_symmetry_space_group_name_Hall '-F 4 2 3'
loop_
_atom_site_label
_atom_site_type_symbol
_atom_site_fract_x
_atom_site_fract_y
_atom_site_fract_z
_atom_site_occupancy
Fe1 Fe 0.000 0.000 0.000 1
Ir1 Ir 0.000 0.000 0.500 1
Pd1 Pd 0.250 0.250 0.250 1
# * D(E_F): 20.8 states/eV per cell
# * energy above the most stable polymorph in this dataset: 0.504 eV/atom
# * formation energy: 0.4946 eV/atom

***

[2]
# LiErAg2 | the Alexandria database | GGA-PBE | relaxed
data_LiErAg2
_chemical_formula_sum 'Li1 Er1 Ag2'
_cell_length_a 3.475
_cell_length_b 3.475
_cell_length_c 6.659
_cell_angle_alpha 90.00
_cell_angle_beta 90.00
_cell_angle_gamma 90.00
_symmetry_space_group_name_H-M 'P 4/m m m'
_symmetry_Int_Tables_number 123
_symmetry_space_group_name_Hall '-P 4 2'
loop_
_atom_site_label
_atom_site_type_symbol
_atom_site_fract_x
_atom_site_fract_y
_atom_site_fract_z
_atom_site_occupancy
Li1 Li 0.000 0.000 0.000 1
Er1 Er 0.000 0.000 0.500 1
Ag1 Ag 0.500 0.500 0.219 1
# * D(E_F): 2.8 states/eV per cell
# * energy above the most stable polymorph in this dataset: 0.000 eV/atom
# * formation energy: -0.2380 eV/atom

***

[3]
# Hf2ZrNi9 | the Alexandria database | GGA-PBE | relaxed
data_Hf2ZrNi9
_chemical_formula_sum 'Hf6 Zr3 Ni27'
_cell_length_a 4.8191
_cell_length_b 4.8191
_cell_length_c 23.7310
_cell_angle_alpha 90.00
_cell_angle_beta 90.00
_cell_angle_gamma 120.00
_symmetry_space_group_name_H-M 'R -3 m'
_symmetry_Int_Tables_number 166
_symmetry_space_group_name_Hall '-R 3 2"'
loop_
_atom_site_label
_atom_site_type_symbol
_atom_site_fract_x
_atom_site_fract_y
_atom_site_fract_z
_atom_site_occupancy
Hf1 Hf 0.0000 0.0000 0.1380 1
Zr1 Zr 0.0000 0.0000 0.0000 1
Ni1 Ni 0.0000 0.0000 0.3338 1
Ni2 Ni 0.0000 0.0000 0.5000 1
Ni3 Ni 0.0042 0.5021 0.9153 1
# * D(E_F): 29.2 states/eV per cell
# * energy above the most stable polymorph in this dataset: 0.025 eV/atom
# * formation energy: -0.4478 eV/atom

***

[4]
# Y3Al5Se12 | the Alexandria database | GGA-PBE | relaxed
data_Y3Al5Se12
_chemical_formula_sum 'Y24 Al40 Se96'
_cell_length_a 15.766
_cell_length_b 15.766
_cell_length_c 15.766
_cell_angle_alpha 90.00
_cell_angle_beta 90.00
_cell_angle_gamma 90.00
_symmetry_space_group_name_H-M 'I a -3 d'
_symmetry_Int_Tables_number 230
_symmetry_space_group_name_Hall '-I 4bd 2c 3'
loop_
_atom_site_label
_atom_site_type_symbol
_atom_site_fract_x
_atom_site_fract_y
_atom_site_fract_z
_atom_site_occupancy
Y1 Y 0.000 0.250 0.125 1
Al1 Al 0.000 0.000 0.000 1
Al2 Al 0.000 0.250 0.375 1
Se1 Se 0.027 0.059 0.650 1
# * E_form (uncorrected): -1.212 eV per atom

***

| no. | size of the total moment (Bohr magnetons per cell) |
| --- | --- |
| 1 | 0.000 |
| 2 | 0.000 |
| 3 | 0.000 |
| 4 | 0.000 |